# Th2S3 (PBE-GGA, optimized geometry)
data_Th2S3
_space_group_name_H-M_alt 'P n m a'
_space_group_IT_number 62
_cell_length_a 10.885
_cell_length_b 3.937
_cell_length_c 10.848
_cell_angle_alpha 90.00
_cell_angle_beta 90.00
_cell_angle_gamma 90.00
loop_
_space_group_symop_operation_xyz
'x,y,z'
'-x,-y,-z'
'-x+1/2,-y,z+1/2'
'x+1/2,y,-z+1/2'
'x+1/2,-y+1/2,-z+1/2'
'-x+1/2,y+1/2,z+1/2'
'-x,y+1/2,-z'
'x,-y+1/2,z'
loop_
_atom_site_label
_atom_site_fract_x
_atom_site_fract_y
_atom_site_fract_z
Th1 0.015 0.250 0.184
Th2 0.196 0.250 0.512
S1 0.052 0.750 0.377
S2 0.125 0.250 0.944
S3 0.223 0.750 0.704
# E (eV for the cell shown): -148.0


# Th2S3 (PBE-GGA, optimized geometry)
data_Th2S3
_space_group_name_H-M_alt 'P n m a'
_space_group_IT_number 62
_cell_length_a 10.882
_cell_length_b 3.929
_cell_length_c 10.865
_cell_angle_alpha 90.00
_cell_angle_beta 90.00
_cell_angle_gamma 90.00
loop_
_space_group_symop_operation_xyz
'x,y,z'
'-x,-y,-z'
'-x+1/2,-y,z+1/2'
'x+1/2,y,-z+1/2'
'x+1/2,-y+1/2,-z+1/2'
'-x+1/2,y+1/2,z+1/2'
'-x,y+1/2,-z'
'x,-y+1/2,z'
loop_
_atom_site_label
_atom_site_fract_x
_atom_site_fract_y
_atom_site_fract_z
Th1 0.015 0.250 0.184
Th2 0.196 0.250 0.513
S1 0.052 0.750 0.376
S2 0.125 0.250 0.945
S3 0.223 0.750 0.705
# E (eV for the cell shown): -148.0


# Tm3ThS6 (PBE-GGA, optimized geometry)
data_Tm3ThS6
_space_group_name_H-M_alt 'P 1 21/m 1'
_space_group_IT_number 11
_cell_length_a 10.941
_cell_length_b 3.898
_cell_length_c 11.227
_cell_angle_alpha 90.00
_cell_angle_beta 108.32
_cell_angle_gamma 90.00
loop_
_space_group_symop_operation_xyz
'x,y,z'
'-x,-y,-z'
'-x,y+1/2,-z'
'x,-y+1/2,z'
loop_
_atom_site_label
_atom_site_fract_x
_atom_site_fract_y
_atom_site_fract_z
Tm1 0.064 0.250 0.166
Tm2 0.179 0.750 0.500
Tm3 0.339 0.250 0.917
Th1 0.451 0.250 0.303
S1 0.020 0.250 0.386
S2 0.106 0.250 0.940
S3 0.238 0.750 0.272
S4 0.306 0.750 0.749
S5 0.381 0.250 0.534
S6 0.418 0.750 0.093
# E (eV for the cell shown): -132.3


# TmTlZnS3 (PBE-GGA, optimized geometry)
data_TmTlZnS3
_space_group_name_H-M_alt 'C m c m'
_space_group_IT_number 63
_space_group_name_Hall '-C 2c 2'
_cell_length_a 3.936
_cell_length_b 14.278
_cell_length_c 10.427
_cell_angle_alpha 90.00
_cell_angle_beta 90.00
_cell_angle_gamma 90.00
loop_
_atom_site_label
_atom_site_fract_x
_atom_site_fract_y
_atom_site_fract_z
Tm1 0.000 0.000 0.000
Tl1 0.000 0.254 0.250
Zn1 0.000 0.460 0.750
S1 0.000 0.060 0.750
S2 0.000 0.377 0.560
# Energy above the most stable polymorph in this dataset (meV per atom): 0.2